(1)
# NdTlIn2I6 (PBE, optimized geometry)
# DFT total energy = -92.06 eV per cell
# Calculated density = 4.548 g/cm3
# Calculated volume = 48.92 A^3/atom
data_NdTlIn2I6
_symmetry_space_group_name_H-M 'R 3'
_symmetry_Int_Tables_number 146
_symmetry_space_group_name_Hall 'R 3'
_cell_length_a 8.6290
_cell_length_b 8.6290
_cell_length_c 22.7545
_cell_angle_alpha 90.00
_cell_angle_beta 90.00
_cell_angle_gamma 120.00
loop_
_atom_site_label
_atom_site_type_symbol
_atom_site_fract_x
_atom_site_fract_y
_atom_site_fract_z
_atom_site_occupancy
Nd1 Nd 0.0000 0.0000 0.0000 1
Tl1 Tl 0.0000 0.0000 0.5076 1
In1 In 0.0000 0.0000 0.3134 1
In2 In 0.0000 0.0000 0.8055 1
I1 I 0.0111 0.3802 0.7397 1
I2 I 0.0497 0.6705 0.5792 1

(2)
# NdTl2InI6 (PBE, optimized geometry)
# DFT total energy = -92.20 eV per cell
# Calculated density = 4.836 g/cm3
# Calculated volume = 49.07 A^3/atom
data_NdTl2InI6
_symmetry_space_group_name_H-M 'R 3'
_symmetry_Int_Tables_number 146
_symmetry_space_group_name_Hall 'R 3'
_cell_length_a 8.6599
_cell_length_b 8.6599
_cell_length_c 22.6642
_cell_angle_alpha 90.00
_cell_angle_beta 90.00
_cell_angle_gamma 120.00
loop_
_atom_site_label
_atom_site_type_symbol
_atom_site_fract_x
_atom_site_fract_y
_atom_site_fract_z
_atom_site_occupancy
Nd1 Nd 0.0000 0.0000 0.0000 1
Tl1 Tl 0.0000 0.0000 0.3104 1
Tl2 Tl 0.0000 0.0000 0.8016 1
In1 In 0.0000 0.0000 0.5069 1
I1 I 0.0112 0.3878 0.7415 1
I2 I 0.0558 0.6838 0.5803 1

(3)
# NdTl3In3I8 (PBE, optimized geometry)
# DFT total energy = -85.32 eV per cell
# Calculated density = 5.017 g/cm3
# Calculated volume = 46.71 A^3/atom
data_NdTl3In3I8
_symmetry_space_group_name_H-M 'C 1 2/m 1'
_symmetry_Int_Tables_number 12
_symmetry_space_group_name_Hall '-C 2y'
_cell_length_a 16.578
_cell_length_b 9.871
_cell_length_c 10.079
_cell_angle_alpha 90.00
_cell_angle_beta 121.83
_cell_angle_gamma 90.00
loop_
_atom_site_label
_atom_site_type_symbol
_atom_site_fract_x
_atom_site_fract_y
_atom_site_fract_z
_atom_site_occupancy
Nd1 Nd 0.000 0.000 0.000 1
Tl1 Tl 0.000 0.000 0.500 1
Tl2 Tl 0.250 0.250 0.000 1
In1 In 0.000 0.500 0.000 1
In2 In 0.250 0.250 0.500 1
I1 I 0.002 0.226 0.225 1
I2 I 0.224 0.000 0.228 1
I3 I 0.249 0.500 0.253 1

(4)
# InNiI2 (PBE, optimized geometry)
# DFT total energy = -40.12 eV per cell
# Calculated density = 6.120 g/cm3
# Energy above the lowest structure with this stoichiometry = 0.478 eV/atom
# Calculated volume = 28.99 A^3/atom
data_InNiI2
_symmetry_space_group_name_H-M 'F m -3 m'
_symmetry_Int_Tables_number 225
_symmetry_space_group_name_Hall '-F 4 2 3'
_cell_length_a 7.741
_cell_length_b 7.741
_cell_length_c 7.741
_cell_angle_alpha 90.00
_cell_angle_beta 90.00
_cell_angle_gamma 90.00
loop_
_atom_site_label
_atom_site_type_symbol
_atom_site_fract_x
_atom_site_fract_y
_atom_site_fract_z
_atom_site_occupancy
In1 In 0.000 0.000 0.000 1
Ni1 Ni 0.000 0.000 0.500 1
I1 I 0.250 0.250 0.250 1

no.,formation energy (no corrections) (eV/f.u.)
1,-8.78
2,-9.19
3,-10.18
4,1.59